Below is a geometry-optimized Y2C structure, with properties calculated at the GGA-PBE level.

ρ: 4.5 g/cm³
Formation energy: -0.26 eV/atom
Space-group type: P6_3/mmc, No. 194

Unit cell a=3.595 b=3.595 c=12.620 alpha=90.00 beta=90.00 gamma=120.00
Last column: magnetic moment on the atom in μB.
Fractional positions:
C1 0.000 0.000 0.000  -0.02
C2 0.000 0.000 0.500  -0.02
Y1 0.333 0.667 0.106  0.10
Y2 0.667 0.333 0.606  0.10
Y3 0.333 0.667 0.394  0.10
Y4 0.667 0.333 0.894  0.10